A relaxed Rb2VBr6N crystal, computed with PBE.

Cell and atoms, written as CIF:
```
data_Rb2VBr6N
_space_group_name_H-M_alt 'I 4/m m m'
_space_group_IT_number 139
_space_group_name_Hall '-I 4 2'
_cell_length_a 7.7791
_cell_length_b 7.7791
_cell_length_c 11.0403
_cell_angle_alpha 90.00
_cell_angle_beta 90.00
_cell_angle_gamma 90.00
loop_
_atom_site_label
_atom_site_type_symbol
_atom_site_fract_x
_atom_site_fract_y
_atom_site_fract_z
Rb1 Rb 0.0000 0.5000 0.2500
V1 V 0.0000 0.0000 0.0000
Br1 Br 0.0000 0.0000 0.2262
Br2 Br 0.2268 0.2268 0.0000
N1 N 0.0000 0.0000 0.5000
```

Calculated values
The value obtained for the total magnetization is 0.200 μB/atom. The value obtained for the density of states at the Fermi level is 1.06 states/eV/atom. The volume is 33.4 Å³/atom. The value obtained for the raw formation energy is -0.563 eV/atom.

***

A relaxed CaAcRh crystal, computed with PBE.

Cell and atoms, written as CIF:
```
data_CaAcRh
_space_group_name_H-M_alt 'F -4 3 m'
_space_group_IT_number 216
_space_group_name_Hall 'F -4 2 3'
_cell_length_a 7.1803
_cell_length_b 7.1803
_cell_length_c 7.1803
_cell_angle_alpha 90.00
_cell_angle_beta 90.00
_cell_angle_gamma 90.00
loop_
_atom_site_label
_atom_site_type_symbol
_atom_site_fract_x
_atom_site_fract_y
_atom_site_fract_z
Ca1 Ca 0.0000 0.0000 0.0000
Ac1 Ac 0.0000 0.0000 0.5000
Rh1 Rh 0.2500 0.2500 0.7500
```

Calculated values
The value obtained for the total magnetization is 0.000 μB/atom. The value obtained for the density of states at the Fermi level is 0.30 states/eV/atom. The volume is 30.8 Å³/atom. As for the polymorph energy (0 for the lowest one): 0.20 eV per formula unit. Its formation energy is -0.411 eV per atom.

***

A relaxed LiTcP2 crystal, computed with PBE.

Cell and atoms, written as CIF:
```
data_LiTcP2
_space_group_name_H-M_alt 'C 1 2/m 1'
_space_group_IT_number 12
_cell_length_a 7.6500
_cell_length_b 3.1073
_cell_length_c 5.0708
_cell_angle_alpha 90.00
_cell_angle_beta 102.47
_cell_angle_gamma 90.00
loop_
_space_group_symop_operation_xyz
'x,y,z'
'-x,-y,-z'
'-x,y,-z'
'x,-y,z'
'x+1/2,y+1/2,z'
'-x+1/2,-y+1/2,-z'
'-x+1/2,y+1/2,-z'
'x+1/2,-y+1/2,z'
loop_
_atom_site_label
_atom_site_type_symbol
_atom_site_fract_x
_atom_site_fract_y
_atom_site_fract_z
Li1 Li 0.0000 0.0000 0.0000
Tc1 Tc 0.0000 0.5000 0.5000
P1 P 0.2371 0.0000 0.6933
```

Calculated values
The value obtained for the total magnetization is 0.000 μB/atom. The value obtained for the density of states at the Fermi level is 0.39 states/eV/atom. The volume is 14.7 Å³/atom. As for the polymorph energy (0 for the lowest one): 0.45 eV per formula unit. Its formation energy is -0.321 eV per atom.

***

A relaxed BeZnSn2As4 crystal, computed with PBE.

Cell and atoms, written as CIF:
```
data_BeZnSn2As4
_space_group_name_H-M_alt 'I -4 2 m'
_space_group_IT_number 121
_space_group_name_Hall 'I -4 2'
_cell_length_a 5.8469
_cell_length_b 5.8469
_cell_length_c 11.4580
_cell_angle_alpha 90.00
_cell_angle_beta 90.00
_cell_angle_gamma 90.00
loop_
_atom_site_label
_atom_site_type_symbol
_atom_site_fract_x
_atom_site_fract_y
_atom_site_fract_z
Be1 Be 0.0000 0.0000 0.0000
Zn1 Zn 0.0000 0.0000 0.5000
Sn1 Sn 0.0000 0.5000 0.2500
As1 As 0.2351 0.2351 0.1057
```

Calculated values
The value obtained for the total magnetization is 0.000 μB/atom. The value obtained for the density of states at the Fermi level is 0.02 states/eV/atom. The volume is 24.5 Å³/atom. Its formation energy is -0.183 eV per atom.

***

A relaxed CaDyHo crystal, computed with PBE.

Cell and atoms, written as CIF:
```
data_CaDyHo
_space_group_name_H-M_alt 'I 4 m m'
_space_group_IT_number 107
_space_group_name_Hall 'I 4 -2'
_cell_length_a 3.6227
_cell_length_b 3.6227
_cell_length_c 15.5337
_cell_angle_alpha 90.00
_cell_angle_beta 90.00
_cell_angle_gamma 90.00
loop_
_atom_site_label
_atom_site_type_symbol
_atom_site_fract_x
_atom_site_fract_y
_atom_site_fract_z
Ca1 Ca 0.0000 0.0000 0.0000
Dy1 Dy 0.0000 0.0000 0.6771
Ho1 Ho 0.0000 0.0000 0.3238
```

Calculated values
The value obtained for the total magnetization is 0.000 μB/atom. The value obtained for the density of states at the Fermi level is 1.46 states/eV/atom. The volume is 34.0 Å³/atom. As for the polymorph energy (0 for the lowest one): 0.00 eV per formula unit. Its formation energy is 0.070 eV per atom.

***

A relaxed Nd2SmHo crystal, computed with PBE.

Cell and atoms, written as CIF:
```
data_Nd2SmHo
_space_group_name_H-M_alt 'R 3 m'
_space_group_IT_number 160
_space_group_name_Hall 'R 3 -2"'
_cell_length_a 3.6418
_cell_length_b 3.6418
_cell_length_c 35.3504
_cell_angle_alpha 90.00
_cell_angle_beta 90.00
_cell_angle_gamma 120.00
loop_
_atom_site_label
_atom_site_type_symbol
_atom_site_fract_x
_atom_site_fract_y
_atom_site_fract_z
Nd1 Nd 0.0000 0.0000 0.0000
Nd2 Nd 0.0000 0.0000 0.1685
Sm1 Sm 0.0000 0.0000 0.4174
Ho1 Ho 0.0000 0.0000 0.5847
```

Calculated values
The value obtained for the total magnetization is 0.000 μB/atom. The value obtained for the density of states at the Fermi level is 1.44 states/eV/atom. The volume is 33.8 Å³/atom. As for the polymorph energy (0 for the lowest one): 0.02 eV per formula unit. Its formation energy is 0.017 eV per atom.

***

A relaxed AcAsPb2 crystal, computed with PBE.

Cell and atoms, written as CIF:
```
data_AcAsPb2
_space_group_name_H-M_alt 'R -3 m'
_space_group_IT_number 166
_space_group_name_Hall '-R 3 2"'
_cell_length_a 3.9449
_cell_length_b 3.9449
_cell_length_c 31.5809
_cell_angle_alpha 90.00
_cell_angle_beta 90.00
_cell_angle_gamma 120.00
loop_
_atom_site_label
_atom_site_type_symbol
_atom_site_fract_x
_atom_site_fract_y
_atom_site_fract_z
Ac1 Ac 0.0000 0.0000 0.0000
As1 As 0.0000 0.0000 0.5000
Pb1 Pb 0.0000 0.0000 0.1086
```

Calculated values
The value obtained for the total magnetization is 0.000 μB/atom. The value obtained for the density of states at the Fermi level is 0.84 states/eV/atom. The volume is 35.5 Å³/atom. As for the polymorph energy (0 for the lowest one): 2.26 eV per formula unit. Its formation energy is 0.090 eV per atom.

***

A relaxed ScNb5Mo6 crystal, computed with PBE.

Cell and atoms, written as CIF:
```
data_ScNb5Mo6
_space_group_name_H-M_alt 'I m m m'
_space_group_IT_number 71
_space_group_name_Hall '-I 2 2'
_cell_length_a 4.6006
_cell_length_b 6.4939
_cell_length_c 13.7096
_cell_angle_alpha 90.00
_cell_angle_beta 90.00
_cell_angle_gamma 90.00
loop_
_atom_site_label
_atom_site_type_symbol
_atom_site_fract_x
_atom_site_fract_y
_atom_site_fract_z
Sc1 Sc 0.0000 0.0000 0.0000
Nb1 Nb 0.0000 0.0000 0.3327
Nb2 Nb 0.0000 0.5000 0.0000
Nb3 Nb 0.0000 0.5000 0.3351
Mo1 Mo 0.0000 0.2414 0.5000
Mo2 Mo 0.0000 0.2536 0.1693
```

Calculated values
The value obtained for the total magnetization is 0.000 μB/atom. The value obtained for the density of states at the Fermi level is 1.12 states/eV/atom. The volume is 17.1 Å³/atom. Its formation energy is -0.053 eV per atom.

***

A relaxed Pm4DyAl2 crystal, computed with PBE.

Cell and atoms, written as CIF:
```
data_Pm4DyAl2
_space_group_name_H-M_alt 'R -3 m'
_space_group_IT_number 166
_space_group_name_Hall '-R 3 2"'
_cell_length_a 5.1280
_cell_length_b 5.1280
_cell_length_c 30.6208
_cell_angle_alpha 90.00
_cell_angle_beta 90.00
_cell_angle_gamma 120.00
loop_
_atom_site_label
_atom_site_type_symbol
_atom_site_fract_x
_atom_site_fract_y
_atom_site_fract_z
Pm1 Pm 0.0000 0.0000 0.1039
Pm2 Pm 0.0000 0.0000 0.2978
Dy1 Dy 0.0000 0.0000 0.5000
Al1 Al 0.0000 0.0000 0.4014
```

Calculated values
The value obtained for the total magnetization is 0.000 μB/atom. The value obtained for the density of states at the Fermi level is 1.73 states/eV/atom. The volume is 33.2 Å³/atom. As for the polymorph energy (0 for the lowest one): 1.23 eV per formula unit. Its formation energy is 0.103 eV per atom.

***

A relaxed AcNdTmLu crystal, computed with PBE.

Cell and atoms, written as CIF:
```
data_AcNdTmLu
_space_group_name_H-M_alt 'F -4 3 m'
_space_group_IT_number 216
_space_group_name_Hall 'F -4 2 3'
_cell_length_a 8.2330
_cell_length_b 8.2330
_cell_length_c 8.2330
_cell_angle_alpha 90.00
_cell_angle_beta 90.00
_cell_angle_gamma 90.00
loop_
_atom_site_label
_atom_site_type_symbol
_atom_site_fract_x
_atom_site_fract_y
_atom_site_fract_z
Ac1 Ac 0.0000 0.0000 0.0000
Nd1 Nd 0.0000 0.0000 0.5000
Tm1 Tm 0.2500 0.2500 0.2500
Lu1 Lu 0.2500 0.2500 0.7500
```

Calculated values
The value obtained for the total magnetization is 0.000 μB/atom. The value obtained for the density of states at the Fermi level is 1.58 states/eV/atom. The volume is 34.9 Å³/atom. Its formation energy is 0.095 eV per atom.

***

A relaxed Rb2BaWS4 crystal, computed with PBE.

Cell and atoms, written as CIF:
```
data_Rb2BaWS4
_space_group_name_H-M_alt 'I -4'
_space_group_IT_number 82
_cell_length_a 7.6833
_cell_length_b 7.6833
_cell_length_c 9.0753
_cell_angle_alpha 90.00
_cell_angle_beta 90.00
_cell_angle_gamma 90.00
loop_
_space_group_symop_operation_xyz
'x,y,z'
'y,-x,-z'
'-x,-y,z'
'-y,x,-z'
'x+1/2,y+1/2,z+1/2'
'y+1/2,-x+1/2,-z+1/2'
'-x+1/2,-y+1/2,z+1/2'
'-y+1/2,x+1/2,-z+1/2'
loop_
_atom_site_label
_atom_site_type_symbol
_atom_site_fract_x
_atom_site_fract_y
_atom_site_fract_z
Rb1 Rb 0.0000 0.0000 0.0000
Rb2 Rb 0.0000 0.5000 0.2500
Ba1 Ba 0.0000 0.0000 0.5000
W1 W 0.0000 0.5000 0.7500
S1 S 0.1923 0.2882 0.6719
```

Calculated values
The value obtained for the total magnetization is 0.030 μB/atom. The value obtained for the density of states at the Fermi level is 0.61 states/eV/atom. The volume is 33.5 Å³/atom. The value obtained for the raw formation energy is -0.955 eV/atom.

***

A relaxed La6Nd2Tm3 crystal, computed with PBE.

Cell and atoms, written as CIF:
```
data_La6Nd2Tm3
_space_group_name_H-M_alt 'P -1'
_space_group_IT_number 2
_cell_length_a 6.3208
_cell_length_b 8.1723
_cell_length_c 8.1958
_cell_angle_alpha 107.51
_cell_angle_beta 97.20
_cell_angle_gamma 104.62
loop_
_space_group_symop_operation_xyz
'x,y,z'
'-x,-y,-z'
loop_
_atom_site_label
_atom_site_type_symbol
_atom_site_fract_x
_atom_site_fract_y
_atom_site_fract_z
La1 La 0.0450 0.1833 0.4119
La2 La 0.2259 0.9061 0.0491
La3 La 0.3152 0.2733 0.8618
Nd1 Nd 0.4102 0.6374 0.6804
Tm1 Tm 0.1373 0.5460 0.2276
Tm2 Tm 0.5000 0.0000 0.5000
```

Calculated values
The value obtained for the total magnetization is 0.000 μB/atom. The value obtained for the density of states at the Fermi level is 1.58 states/eV/atom. The volume is 34.7 Å³/atom. Its formation energy is 0.023 eV per atom.

***

A relaxed CaTlIF2 crystal, computed with PBE.

Cell and atoms, written as CIF:
```
data_CaTlIF2
_space_group_name_H-M_alt 'P 4/m m m'
_space_group_IT_number 123
_space_group_name_Hall '-P 4 2'
_cell_length_a 4.6226
_cell_length_b 4.6226
_cell_length_c 6.5086
_cell_angle_alpha 90.00
_cell_angle_beta 90.00
_cell_angle_gamma 90.00
loop_
_atom_site_label
_atom_site_type_symbol
_atom_site_fract_x
_atom_site_fract_y
_atom_site_fract_z
Ca1 Ca 0.0000 0.0000 0.0000
Tl1 Tl 0.5000 0.5000 0.5000
I1 I 0.0000 0.0000 0.5000
F1 F 0.0000 0.5000 0.0000
```

Calculated values
The value obtained for the total magnetization is 0.000 μB/atom. The value obtained for the density of states at the Fermi level is 0.00 states/eV/atom. The volume is 27.8 Å³/atom. The value obtained for the raw formation energy is -2.353 eV/atom.